DFT (PBE) results for a relaxed structure of PmTm3Ga2.

Lattice parameters (Å, degrees): 4.886 6.604 9.464 90.00 90.00 90.00
Positions (direct):
1 Tm 0.000 0.333 0.310
2 Pm 0.500 0.042 0.450
3 Ga 0.500 0.713 0.865
4 Ga 0.000 0.784 0.360
5 Ga 0.000 0.284 0.640
6 Tm 0.000 0.462 0.947
7 Ga 0.500 0.213 0.135
8 Tm 0.500 0.166 0.823
9 Tm 0.000 0.833 0.690
10 Pm 0.500 0.542 0.550
11 Tm 0.000 0.962 0.053
12 Tm 0.500 0.666 0.177

Results
Energy of formation: -0.4220 eV per atom
DFT total energy: -4.46 eV per atom
Polymorph energy (0 for the lowest one): 0 meV per atom